DFT (PBE) results for crystalline GaNiBi2 at its relaxed geometry.

Values from the calculation:
Calculated density ... 9.65 g/cm³
Crystal system ... cubic
DFT total energy ... -3.75 eV per atom
Magnetic moment ... 0.0 μB per formula unit

Lattice parameters (Å, degrees): 7.219 7.219 7.219 90.00 90.00 90.00
Space group F-43m (No. 216)
Unique sites:
1 Ga 0.000 0.000 0.000 (multiplicity 4)
2 Ni 0.250 0.250 0.750 (multiplicity 4)
3 Bi 0.000 0.000 0.500 (multiplicity 4)
4 Bi 0.250 0.250 0.250 (multiplicity 4)


DFT (PBE) results for crystalline CsLaFe at its relaxed geometry.

Values from the calculation:
Calculated density ... 5.66 g/cm³
Crystal system ... trigonal
DFT total energy ... -3.83 eV per atom
Magnetic moment ... 1.8 μB per formula unit

Lattice parameters (Å, degrees): 5.8526 5.8526 9.7189 90.00 90.00 120.00
Space group P3m1 (No. 156)
Unique sites:
1 Cs 0.0000 0.0000 0.0000 (multiplicity 1)
2 Cs 0.0000 0.0000 0.3329 (multiplicity 1)
3 Cs 0.0000 0.0000 0.6658 (multiplicity 1)
4 La 0.3333 0.6667 0.0834 (multiplicity 1)
5 La 0.3333 0.6667 0.5806 (multiplicity 1)
6 La 0.6667 0.3333 0.8305 (multiplicity 1)
7 Fe 0.3333 0.6667 0.8335 (multiplicity 1)
8 Fe 0.6667 0.3333 0.2247 (multiplicity 1)
9 Fe 0.6667 0.3333 0.4462 (multiplicity 1)


Q: Which value of calculated density does entry 2 give?
A: 5.66 g/cm³